# Mg2OsRh | the Alexandria database | PBE-GGA | relaxed
data_Mg2OsRh
_space_group_name_H-M_alt 'I 4/m m m'
_space_group_IT_number 139
_space_group_name_Hall '-I 4 2'
_cell_length_a 3.950
_cell_length_b 3.950
_cell_length_c 8.030
_cell_angle_alpha 90.00
_cell_angle_beta 90.00
_cell_angle_gamma 90.00
loop_
_atom_site_label
_atom_site_fract_x
_atom_site_fract_y
_atom_site_fract_z
Mg1 0.000 0.500 0.250
Os1 0.000 0.000 0.000
Rh1 0.000 0.000 0.500
# Size of the total moment ... 1.1 μB/f.u.
# VASP energy ... -5.332 eV per atom
# Energy above the lowest structure with this stoichiometry ... 203 meV per atom
# N(E_F) ... 8.43 states/eV/cell
# ΔE_f ... 0.11 eV per atom